NaB3Rh: optimized geometry, PBEsol.

Output
For the energy relative to the elements, the calculation gives 0.841 eV per atom.

Cell: 4.0578 4.0578 4.0578 Å, 90.00 90.00 90.00°
Last column: nearest neighbours and their distance in Å.
Space group Pm-3m (No. 221)
Unique sites:
Na (0.0000, 0.0000, 0.0000) x1  12 B 2.87
B (0.0000, 0.5000, 0.5000) x3  2 Rh 2.03
Rh (0.5000, 0.5000, 0.5000) x1  6 B 2.03

LaZrSc2: optimized geometry, PBEsol.

Output
For the energy relative to the elements, the calculation gives 0.192 eV per atom. The calculation puts the relative energy among the computed polymorphs at 137 meV/atom.

Cell: 3.6833 5.1453 5.2521 Å, 90.00 90.00 90.00°
Last column: nearest neighbours and their distance in Å.
Space group Pmmm (No. 47)
Unique sites:
La (0.0000, 0.0000, 0.0000) x1  4 Zr 3.16, 4 Sc 3.21
Zr (0.5000, 0.5000, 0.0000) x1  4 La 3.16, 4 Sc 3.21
Sc (0.0000, 0.5000, 0.5000) x1  4 Sc 3.16, 4 Zr 3.21
Sc (0.5000, 0.0000, 0.5000) x1  4 Sc 3.16, 4 La 3.21

Ba3NiPb: optimized geometry, PBEsol.

Output
For the energy relative to the elements, the calculation gives -0.133 eV per atom. The calculation puts the relative energy among the computed polymorphs at 0 meV/atom.

Cell: 5.7453 5.7453 5.7453 Å, 90.00 90.00 90.00°
Last column: nearest neighbours and their distance in Å.
Space group Pm-3m (No. 221)
Unique sites:
Ba (0.0000, 0.0000, 0.5000) x3  2 Ni 2.87
Ni (0.0000, 0.0000, 0.0000) x1  6 Ba 2.87
Pb (0.5000, 0.5000, 0.5000) x1  12 Ba 4.06

Cs3MgRe: optimized geometry, PBEsol.

Output
For the energy relative to the elements, the calculation gives 1.772 eV per atom.

Cell: 7.2114 7.2114 7.2114 Å, 90.00 90.00 90.00°
Last column: nearest neighbours and their distance in Å.
Space group Pm-3m (No. 221)
Unique sites:
Cs (0.0000, 0.0000, 0.5000) x3  2 Mg 3.61
Mg (0.0000, 0.0000, 0.0000) x1  6 Cs 3.61
Re (0.5000, 0.5000, 0.5000) x1  12 Cs 5.10

Li4TiCrO6: optimized geometry, PBEsol.

Output
Its uncorrected formation energy is -227 kJ/mol of atoms.

Cell: 4.9727 8.6031 5.0221 Å, 90.00 109.52 90.00°
Last column: nearest neighbours and their distance in Å.
Space group C2 (No. 5)
Unique sites:
Li (0.0000, 0.0000, 0.0000) x2  6 O 2.06-2.08
Li (0.0000, 0.1585, 0.5000) x2  6 O 2.06-2.18
Li (0.0000, 0.5069, 0.5000) x2  6 O 2.01-2.20
Li (0.0000, 0.8389, 0.5000) x2  6 O 2.05-2.13
Ti (0.0000, 0.3334, 0.0000) x2  6 O 1.95-1.96
Cr (0.0000, 0.6678, 0.0000) x2  6 O 1.91-1.93
O (0.2229, 0.5030, 0.2313) x4  1 Cr 1.93, 1 Ti 1.96, 4 Li 2.01-2.11
O (0.2414, 0.6756, 0.7731) x4  1 Cr 1.91, 1 Ti 1.95, 3 Li 2.05-2.08
O (0.2493, 0.8212, 0.2282) x4  1 Cr 1.91, 1 Ti 1.96, 3 Li 2.06-2.13

CuHgAu2: optimized geometry, PBEsol.

Output
For the energy relative to the elements, the calculation gives 0.044 eV per atom.

Cell: 4.0844 4.0844 7.9248 Å, 90.00 90.00 90.00°
Last column: nearest neighbours and their distance in Å.
Space group I-4m2 (No. 119)
Unique sites:
Cu (0.0000, 0.0000, 0.0000) x2  4 Hg 2.85, 8 Au 2.85-2.89
Hg (0.0000, 0.5000, 0.2500) x2  4 Cu 2.85, 8 Au 2.85-2.89
Au (0.0000, 0.0000, 0.5000) x2  4 Hg 2.85, 4 Au 2.85, 4 Cu 2.89
Au (0.0000, 0.5000, 0.7500) x2  4 Au 2.85, 4 Cu 2.85, 4 Hg 2.89

TeP2OF: optimized geometry, PBEsol.

Output
Its uncorrected formation energy is 63 kJ/mol of atoms.

Cell: 5.1357 5.1357 3.8733 Å, 90.00 90.00 90.00°
Last column: nearest neighbours and their distance in Å.
Space group P4/mmm (No. 123)
Unique sites:
Te (0.0000, 0.0000, 0.0000) x1  2 O 1.94
P (0.0000, 0.5000, 0.0000) x2  2 Te 2.57
O (0.0000, 0.0000, 0.5000) x1  2 Te 1.94
F (0.5000, 0.5000, 0.5000) x1  8 P 3.22

LaS3Br: optimized geometry, PBEsol.

Output
Its uncorrected formation energy is 2 kJ/mol of atoms.

Cell: 5.5659 5.5659 5.5659 Å, 90.00 90.00 90.00°
Last column: nearest neighbours and their distance in Å.
Space group Pm-3m (No. 221)
Unique sites:
La (0.0000, 0.0000, 0.0000) x1  6 S 2.78
S (0.0000, 0.0000, 0.5000) x3  2 La 2.78
Br (0.5000, 0.5000, 0.5000) x1  12 S 3.94

IrRuPt: optimized geometry, PBEsol.

Output
For the energy relative to the elements, the calculation gives 0.001 eV per atom. The calculation puts the relative energy among the computed polymorphs at 30 meV/atom.

Cell: 2.7086 3.8260 8.1441 Å, 90.00 90.00 90.00°
Last column: nearest neighbours and their distance in Å.
Space group Imm2 (No. 44)
Unique sites:
Ir (0.0000, 0.0000, 0.0000) x2  5 Pt 2.66-2.73, 5 Ru 2.67-2.79, 2 Ir 2.71
Ru (0.0000, 0.0000, 0.3428) x2  5 Ir 2.67-2.79, 5 Pt 2.69-2.72, 2 Ru 2.71
Pt (0.0000, 0.0000, 0.6730) x2  5 Ir 2.66-2.73, 5 Ru 2.69-2.72, 2 Pt 2.71

NaInSn: optimized geometry, PBEsol.

Output
For the energy relative to the elements, the calculation gives -0.201 eV per atom.

Cell: 4.8447 4.8447 7.7154 Å, 90.00 90.00 120.00°
Last column: nearest neighbours and their distance in Å.
Space group P6_3mc (No. 186)
Unique sites:
Na (0.0000, 0.0000, 0.0000) x2  3 In 3.17, 3 Sn 3.18
In (0.3333, 0.6667, 0.1938) x2  4 Sn 2.92-3.01, 3 Na 3.17
Sn (0.3333, 0.6667, 0.8032) x2  4 In 2.92-3.01, 3 Na 3.18

KMnRh2: optimized geometry, PBEsol.

Output
For the energy relative to the elements, the calculation gives 0.601 eV per atom. The calculation puts the relative energy among the computed polymorphs at 53 meV/atom.

Cell: 3.1486 3.1486 7.7504 Å, 90.00 90.00 90.00°
Last column: nearest neighbours and their distance in Å.
Space group P4mm (No. 99)
Unique sites:
K (0.0000, 0.0000, 0.0000) x1  4 K 3.15, 4 Rh 3.28
Mn (0.5000, 0.5000, 0.3614) x1  5 Rh 2.50-2.54
Rh (0.0000, 0.0000, 0.5084) x1  4 Mn 2.50, 4 Rh 2.63
Rh (0.5000, 0.5000, 0.6890) x1  1 Mn 2.54, 4 Rh 2.63

Zr2ZnCd: optimized geometry, PBEsol.

Output
For the energy relative to the elements, the calculation gives -0.148 eV per atom. The calculation puts the relative energy among the computed polymorphs at 48 meV/atom.

Cell: 3.0598 3.0598 8.3121 Å, 90.00 90.00 90.00°
Last column: nearest neighbours and their distance in Å.
Space group P4mm (No. 99)
Unique sites:
Zr (0.0000, 0.0000, 0.0000) x1  4 Zn 2.91, 8 Zr 3.06-3.16
Zr (0.5000, 0.5000, 0.2777) x1  8 Zr 3.06-3.16, 4 Cd 3.13
Zn (0.5000, 0.5000, 0.7663) x1  4 Cd 2.81, 4 Zr 2.91, 4 Zn 3.06
Cd (0.0000, 0.0000, 0.5503) x1  4 Zn 2.81, 4 Cd 3.06, 4 Zr 3.13

CoIr2Os: optimized geometry, PBEsol.

Output
For the energy relative to the elements, the calculation gives 0.067 eV per atom. The calculation puts the relative energy among the computed polymorphs at 47 meV/atom.

Cell: 3.7272 3.7272 7.5464 Å, 90.00 90.00 90.00°
Last column: nearest neighbours and their distance in Å.
Space group I-4m2 (No. 119)
Unique sites:
Co (0.0000, 0.0000, 0.0000) x2  8 Ir 2.64-2.65, 4 Os 2.65
Ir (0.0000, 0.0000, 0.5000) x2  4 Co 2.64, 4 Os 2.65, 4 Ir 2.65
Ir (0.0000, 0.5000, 0.2500) x2  4 Os 2.64, 4 Co 2.65, 4 Ir 2.65
Os (0.0000, 0.5000, 0.7500) x2  8 Ir 2.64-2.65, 4 Co 2.65

Cd3Pt: optimized geometry, PBEsol.

Output
For the energy relative to the elements, the calculation gives -0.213 eV per atom.

Cell: 4.7661 5.8111 5.2158 Å, 90.00 90.00 90.00°
Last column: nearest neighbours and their distance in Å.
Space group Pmmn (No. 59, origin choice 2)
Unique sites:
Cd (0.2500, 0.0035, 0.1655) x4  8 Cd 2.87-3.12, 4 Pt 2.92-3.03
Cd (0.2500, 0.7500, 0.6379) x2  8 Cd 2.87-3.12, 4 Pt 2.90-2.91
Pt (0.2500, 0.2500, 0.6779) x2  12 Cd 2.90-3.03

Hg2SbPt: optimized geometry, PBEsol.

Output
Its uncorrected formation energy is -9 kJ/mol of atoms.

Cell: 3.6700 3.6700 23.5775 Å, 90.00 90.00 120.00°
Last column: nearest neighbours and their distance in Å.
Space group R3m (No. 160, hexagonal axes)
Unique sites:
Hg (0.0000, 0.0000, 0.0000) x3  3 Pt 2.81, 3 Hg 2.97
Hg (0.0000, 0.0000, 0.2448) x3  3 Hg 2.97, 3 Sb 3.22
Sb (0.0000, 0.0000, 0.4755) x3  3 Pt 2.60
Pt (0.0000, 0.0000, 0.7448) x3  3 Sb 2.60, 3 Hg 2.81

TlGaMo2Pd: optimized geometry, PBEsol.

Output
For the energy relative to the elements, the calculation gives 1.373 eV per atom.

Cell: 4.8145 4.8145 4.5477 Å, 90.00 90.00 90.00°
Last column: nearest neighbours and their distance in Å.
Space group P4/mmm (No. 123)
Unique sites:
Tl (0.0000, 0.0000, 0.0000) x1  8 Mo 3.31, 4 Ga 3.40
Ga (0.5000, 0.5000, 0.0000) x1  2 Pd 2.27
Mo (0.0000, 0.5000, 0.5000) x2  2 Pd 2.41
Pd (0.5000, 0.5000, 0.5000) x1  2 Ga 2.27, 4 Mo 2.41

Fe2SiW: optimized geometry, PBEsol.

Output
Its uncorrected formation energy is 1 kJ/mol of atoms.

Cell: 5.0296 8.0478 2.6267 Å, 90.00 112.28 90.00°
Last column: nearest neighbours and their distance in Å.
Space group C2/m (No. 12)
Unique sites:
Fe (0.2500, 0.2500, 0.0000) x4  2 Si 2.47, 2 W 2.47, 4 Fe 2.51-2.63
Si (0.0000, 0.0000, 0.5000) x2  4 Fe 2.47, 2 W 2.51, 2 Si 2.63
W (0.0000, 0.5000, 0.5000) x2  4 Fe 2.47, 2 Si 2.51, 2 W 2.63

MgAgPt2: optimized geometry, PBEsol.

Output
For the energy relative to the elements, the calculation gives -0.420 eV per atom.

Cell: 3.9823 3.9823 7.8503 Å, 90.00 90.00 90.00°
Last column: nearest neighbours and their distance in Å.
Space group I4/mmm (No. 139)
Unique sites:
Mg (0.0000, 0.0000, 0.0000) x2  8 Pt 2.80, 4 Ag 2.82
Ag (0.0000, 0.0000, 0.5000) x2  8 Pt 2.80, 4 Mg 2.82
Pt (0.0000, 0.5000, 0.2500) x4  4 Mg 2.80, 4 Ag 2.80, 4 Pt 2.82

Hf2Be2Rh: optimized geometry, PBEsol.

Output
For the energy relative to the elements, the calculation gives -0.471 eV per atom. The calculation puts the relative energy among the computed polymorphs at 0 meV/atom.

Cell: 6.3110 6.3110 3.5392 Å, 90.00 90.00 90.00°
Last column: nearest neighbours and their distance in Å.
Space group P4/mbm (No. 127)
Unique sites:
Hf (0.1769, 0.3231, 0.0000) x4  6 Be 2.53-2.60
Be (0.1197, 0.6197, 0.5000) x4  1 Be 2.14
Rh (0.0000, 0.0000, 0.5000) x2  4 Be 2.52

BeMoBr2: optimized geometry, PBEsol.

Output
The calculation puts the relative energy among the computed polymorphs at 522 meV/atom. Its uncorrected formation energy is 75 kJ/mol of atoms.

Cell: 5.5142 5.5142 10.0530 Å, 90.00 90.00 90.00°
Last column: nearest neighbours and their distance in Å.
Space group I-42d (No. 122)
Unique sites:
Be (0.0000, 0.0000, 0.0000) x4  4 Br 2.17
Mo (0.0000, 0.0000, 0.5000) x4  4 Br 2.49
Br (0.2013, 0.2500, 0.1250) x8  2 Be 2.17

Li3Al: optimized geometry, PBEsol.

Output
For the energy relative to the elements, the calculation gives -0.077 eV per atom.

Cell: 5.9326 7.5061 2.9518 Å, 90.00 90.00 90.00°
Last column: nearest neighbours and their distance in Å.
Space group Cmmm (No. 65)
Unique sites:
Li (0.0000, 0.0000, 0.0000) x2  10 Li 2.81-2.95, 2 Al 2.97
Li (0.2500, 0.2500, 0.5000) x4  8 Li 2.81-2.97, 4 Al 2.81
Al (0.0000, 0.5000, 0.0000) x2  10 Li 2.81-2.97, 2 Al 2.95

MgRhAu2: optimized geometry, PBEsol.

Output
For the energy relative to the elements, the calculation gives -0.170 eV per atom.

Cell: 2.9098 2.9098 7.5559 Å, 90.00 90.00 90.00°
Last column: nearest neighbours and their distance in Å.
Space group P4mm (No. 99)
Unique sites:
Mg (0.0000, 0.0000, 0.0000) x1  4 Rh 2.67, 4 Au 2.83, 4 Mg 2.91
Rh (0.5000, 0.5000, 0.2261) x1  4 Mg 2.67, 4 Au 2.77, 4 Rh 2.91
Au (0.0000, 0.0000, 0.4721) x1  4 Rh 2.77, 8 Au 2.90-2.91
Au (0.5000, 0.5000, 0.7423) x1  4 Mg 2.83, 8 Au 2.90-2.91

Er: optimized geometry, PBEsol.

Output
For the energy relative to the elements, the calculation gives 0.076 eV per atom. The calculation puts the relative energy among the computed polymorphs at 76 meV/atom.

Cell: 5.4105 5.4105 3.3699 Å, 90.00 90.00 120.00°
Last column: nearest neighbours and their distance in Å.
Space group P6/mmm (No. 191)
Unique sites:
Er (0.0000, 0.0000, 0.0000) x1  14 Er 3.37-3.55
Er (0.3333, 0.6667, 0.5000) x2  5 Er 3.12-3.37

CoSe2Cl: optimized geometry, PBEsol.

Output
The calculation puts the relative energy among the computed polymorphs at 0 meV/atom. Its uncorrected formation energy is -24 kJ/mol of atoms.

Cell: 3.4677 3.4677 20.4349 Å, 90.00 90.00 120.00°
Last column: nearest neighbours and their distance in Å.
Space group R-3m (No. 166, hexagonal axes)
Unique sites:
Co (0.0000, 0.0000, 0.0000) x3  6 Se 2.34
Se (0.0000, 0.0000, 0.2744) x6  3 Co 2.34
Cl (0.0000, 0.0000, 0.5000) x3  6 Se 2.98

LiMnBi3: optimized geometry, PBEsol.

Output
For the energy relative to the elements, the calculation gives 0.582 eV per atom.

Cell: 5.0796 5.0796 5.0796 Å, 90.00 90.00 90.00°
Last column: nearest neighbours and their distance in Å.
Space group Pm-3m (No. 221)
Unique sites:
Li (0.0000, 0.0000, 0.0000) x1  6 Bi 2.54
Mn (0.5000, 0.5000, 0.5000) x1  12 Bi 3.59
Bi (0.0000, 0.0000, 0.5000) x3  2 Li 2.54

Y2MgCd2: optimized geometry, PBEsol.

Output
For the energy relative to the elements, the calculation gives 0.067 eV per atom. The calculation puts the relative energy among the computed polymorphs at 344 meV/atom.

Cell: 4.0100 4.0100 17.0740 Å, 90.00 90.00 90.00°
Last column: nearest neighbours and their distance in Å.
Space group I4/mmm (No. 139)
Unique sites:
Y (0.0000, 0.0000, 0.1019) x4  4 Cd 3.23, 4 Mg 3.33, 1 Y 3.48
Mg (0.0000, 0.0000, 0.5000) x2  8 Y 3.33
Cd (0.0000, 0.5000, 0.2500) x4  4 Cd 2.84

Mn4CrO8: optimized geometry, PBEsol.

Output
Its uncorrected formation energy is -155 kJ/mol of atoms.

Cell: 9.9612 5.7226 5.7935 Å, 90.00 124.95 90.00°
Last column: nearest neighbours and their distance in Å.
Space group C2/m (No. 12)
Unique sites:
Mn (0.0000, 0.0000, 0.0000) x2  6 O 2.01-2.03
Mn (0.0000, 0.5000, 0.5000) x2  6 O 2.05-2.08
Mn (0.2500, 0.2500, 0.0000) x4  6 O 1.89-1.93
Cr (0.0000, 0.0000, 0.5000) x2  6 O 1.95-1.96
O (0.0150, 0.2379, 0.7552) x8  3 Mn 1.92-2.05, 1 Cr 1.95
O (0.2377, 0.0000, 0.7744) x4  2 Mn 1.89, 1 Cr 1.96
O (0.2459, 0.0000, 0.2194) x4  4 Mn 1.93-2.08

Hf2MgHgH: optimized geometry, PBEsol.

Output
The value obtained for the raw total energy is -4.507 eV/atom.

Cell: 5.5419 5.5419 3.3630 Å, 90.00 90.00 90.00°
Last column: nearest neighbours and their distance in Å.
Space group P4/mmm (No. 123)
Unique sites:
Hf (0.0000, 0.5000, 0.0000) x2  2 Hg 2.77
Mg (0.0000, 0.0000, 0.5000) x1  8 Hf 3.24, 2 Mg 3.36
Hg (0.5000, 0.5000, 0.0000) x1  2 H 1.68
H (0.5000, 0.5000, 0.5000) x1  2 Hg 1.68

Density of states at the Fermi level values, unit states/eV per cell, following the record order: 3.9, 7.7, 4.4, 9.4, 15.4, 2.2, 4.7, 6.5, 5.4, 0.9, 3.9, 2.8, 10.3, 2.7, 4.9, 6.0, 6.6, 3.1, 6.6, 12.4, 2.5, 3.1, 5.1, 9.6, 2.7, 8.4, 11.3, 4.7.
Magnetization values, unit μB per cell, following the record order: 0.004, 0.001, 0.000, 4.838, 4.000, 0.000, 0.016, 4.028, 0.000, 0.000, 4.085, 0.000, 0.006, 0.000, 0.000, 2.549, 6.194, 0.000, 0.000, 0.006, 0.000, 0.002, 0.002, 0.004, 4.503, 0.003, 32.453, 0.000.